[1]
! GGA-PBE Ba2YScV, optimized geometry; values from VASP
! Magnetic moment   0.492 μB per atom
&SYSTEM
  ibrav = 0, nat = 5, ntyp = 4
/
ATOMIC_SPECIES
Sc 44.96 Sc.upf
V 50.94 V.upf
Ba 137.33 Ba.upf
Y 88.91 Y.upf
CELL_PARAMETERS angstrom
-2.4271 5.9651 0.0307
-4.4261 -1.7948 -1.1848
-1.4250 -0.6120 6.2505
ATOMIC_POSITIONS crystal
Sc 0.5000 0.5000 0.5000
V 0.0000 0.5000 0.0000
Ba 0.5000 0.0000 0.0000
Ba 0.0000 0.0000 0.5000
Y 0.0000 0.0000 0.0000


[2]
! GGA-PBE BaSc2W, optimized geometry; values from VASP
! Magnetic moment   0.000 μB per atom
! E above lowest polymorph   494.8 meV per atom
&SYSTEM
  ibrav = 0, nat = 4, ntyp = 3
/
ATOMIC_SPECIES
Sc 44.96 Sc.upf
W 183.84 W.upf
Ba 137.33 Ba.upf
CELL_PARAMETERS angstrom
4.8409 0.0000 0.0000
0.0000 4.8381 0.0000
0.0000 0.0000 4.1234
ATOMIC_POSITIONS crystal
Sc 0.0000 0.0000 0.0000
Sc 0.5000 0.5000 0.0000
W 0.5000 0.0000 0.5000
Ba 0.0000 0.5000 0.5000


[3]
! GGA-PBE BaSc2W, optimized geometry; values from VASP
! Magnetic moment   0.000 μB per atom
! E above lowest polymorph   464.6 meV per atom
&SYSTEM
  ibrav = 0, nat = 4, ntyp = 3
/
ATOMIC_SPECIES
Sc 44.96 Sc.upf
W 183.84 W.upf
Ba 137.33 Ba.upf
CELL_PARAMETERS angstrom
-4.2296 3.3626 -1.1558
1.3571 -2.6099 -4.6775
-2.0919 -2.3828 0.7226
ATOMIC_POSITIONS crystal
Sc 0.5000 0.5000 0.0000
Sc 0.0000 0.0000 0.0000
W 0.5000 0.0000 0.5000
Ba 0.0000 0.5000 0.5000


Number 1: VASP energy -3.925 eV/atom, energy of formation from the pure elements 118.43 kJ per mole of atoms. Number 2: VASP energy -5.987 eV/atom, energy of formation from the pure elements 86.63 kJ per mole of atoms. Number 3: VASP energy -6.017 eV/atom, energy of formation from the pure elements 83.71 kJ per mole of atoms.